# 1
Li6TlSb5: optimized geometry, PBE.

The calculation puts the uncorrected formation energy at -0.38 eV/atom.

It has space group C2/m (No. 12), with a = 14.257 Å, b = 8.501 Å, c = 4.575 Å, α = 90.00°, β = 108.59° and γ = 90.00°. The asymmetric unit holds Li at (0.000, 0.238, 0.000), Li at (0.171, 0.245, 0.672), Tl at (0.000, 0.500, 0.500), Sb at (0.000, 0.000, 0.500), Sb at (0.165, 0.500, 0.165) and Sb at (0.172, 0.000, 0.173).

---

# 2
SrReW2: optimized geometry, PBE.

The calculation puts the energy at -8.757 eV/atom.

It has space group Cmmm (No. 65), with a = 5.579 Å, b = 9.907 Å, c = 2.696 Å, α = 90.00°, β = 90.00° and γ = 90.00°. The asymmetric unit holds Sr at (0.000, 0.000, 0.000), Re at (0.000, 0.500, 0.000) and W at (0.250, 0.250, 0.500).

---

# 3
KCdAg3: optimized geometry, PBE.

The calculation puts the energy at -1.880 eV/atom.

It has space group Pm-3m (No. 221), with a = 5.349 Å, b = 5.349 Å, c = 5.349 Å, α = 90.00°, β = 90.00° and γ = 90.00°. The asymmetric unit holds K at (0.000, 0.000, 0.000), Cd at (0.500, 0.500, 0.500) and Ag at (0.000, 0.500, 0.500).

---

Per-record Fermi-level density of states, states/eV/atom: 0.2771 0.6448 0.2651
Per-record theoretical density, Mg/m³: 5.4 14.3 5.2